Record 1
Density functional theory data (PBE-GGA) for a geometry-optimized RbV6S8 structure.

Results
**E_form (uncorrected)**: -15.4 eV/f.u.
**VASP energy**: -6.942 eV/atom
**Space-group type**: P-3

a b c (Å): 9.260 9.260 3.260
angles (deg): 90.00 90.00 120.00
Fractional coordinates of all 15 atoms:
Rb 0.000 0.000 0.000
V 0.115 0.489 0.248
V 0.374 0.885 0.248
V 0.489 0.374 0.752
V 0.511 0.626 0.248
V 0.626 0.115 0.752
V 0.885 0.511 0.752
S 0.054 0.703 0.254
S 0.297 0.352 0.254
S 0.333 0.667 0.749
S 0.352 0.054 0.746
S 0.648 0.946 0.254
S 0.667 0.333 0.251
S 0.703 0.648 0.746
S 0.946 0.297 0.746

***

Record 2
Density functional theory data (PBE-GGA) for a geometry-optimized LaY2Ru structure.

Results
**ΔH_f (0 K)**: -0.2057 eV per atom
**Offset from the most stable computed form**: 0.338 eV/f.u.
**VASP energy**: -6.989 eV/atom
**Space-group type**: P4/mmm

a b c (Å): 3.463 3.463 9.274
angles (deg): 90.00 90.00 90.00
Fractional coordinates of all 4 atoms:
La 0.000 0.000 0.000
Y 0.500 0.500 0.323
Y 0.500 0.500 0.677
Ru 0.000 0.000 0.500

***

Record 3
Density functional theory data (PBE-GGA) for a geometry-optimized BeTeOs2C structure.

Results
**E_form (uncorrected)**: 6.2 eV/f.u.
**VASP energy**: -6.475 eV/atom
**Space-group type**: P4/mmm

a b c (Å): 4.009 4.009 4.770
angles (deg): 90.00 90.00 90.00
Fractional coordinates of all 5 atoms:
Be 0.000 0.000 0.000
Te 0.500 0.500 0.000
Os 0.000 0.500 0.500
Os 0.500 0.000 0.500
C 0.500 0.500 0.500

***

Record 4
Density functional theory data (PBE-GGA) for a geometry-optimized MnMoPd2 structure.

Results
**ΔH_f (0 K)**: 0.1355 eV per atom
**Offset from the most stable computed form**: 0.000 eV/f.u.
**VASP energy**: -7.461 eV/atom
**Space-group type**: F-43m

a b c (Å): 4.384 4.384 4.384
angles (deg): 60.00 60.00 60.00
Fractional coordinates of all 4 atoms:
Mn 0.000 0.000 0.000
Mo 0.750 0.750 0.750
Pd 0.250 0.250 0.250
Pd 0.500 0.500 0.500

***

Record 5
Density functional theory data (PBE-GGA) for a geometry-optimized Sm5Ho5Er structure.

Results
**ΔH_f (0 K)**: 0.3081 eV per atom
**VASP energy**: -4.333 eV/atom
**Space-group type**: P-6m2

a b c (Å): 6.076 6.076 11.658
angles (deg): 90.00 90.00 120.00
Fractional coordinates of all 11 atoms:
Sm 0.000 0.000 0.000
Sm 0.333 0.667 0.316
Sm 0.333 0.667 0.684
Sm 0.667 0.333 0.154
Sm 0.667 0.333 0.846
Ho 0.000 0.000 0.265
Ho 0.000 0.000 0.735
Ho 0.334 0.167 0.500
Ho 0.833 0.167 0.500
Ho 0.833 0.666 0.500
Er 0.333 0.667 0.000

***

Record 6
Density functional theory data (PBE-GGA) for a geometry-optimized TaBMo structure.

Results
**ΔH_f (0 K)**: -0.5567 eV per atom
**Offset from the most stable computed form**: 0.000 eV/f.u.
**VASP energy**: -10.344 eV/atom
**Space-group type**: Cmcm

a b c (Å): 7.662 7.662 3.176
angles (deg): 90.00 90.00 155.35
Fractional coordinates of all 6 atoms:
Ta 0.086 0.914 0.750
Ta 0.914 0.086 0.250
B 0.465 0.535 0.750
B 0.535 0.465 0.250
Mo 0.299 0.701 0.750
Mo 0.701 0.299 0.250

***

Record 7
Density functional theory data (PBE-GGA) for a geometry-optimized BaCd2GeTe structure.

Results
**E_form (uncorrected)**: 1.0 eV/f.u.
**VASP energy**: -2.093 eV/atom
**Space-group type**: P4/mmm

a b c (Å): 5.619 5.619 6.590
angles (deg): 90.00 90.00 90.00
Fractional coordinates of all 5 atoms:
Ba 0.000 0.000 0.000
Cd 0.000 0.500 0.500
Cd 0.500 0.000 0.500
Ge 0.500 0.500 0.000
Te 0.000 0.000 0.500

***

Record 8
Density functional theory data (PBE-GGA) for a geometry-optimized SrCdHg5 structure.

Results
**ΔH_f (0 K)**: -0.1834 eV per atom
**VASP energy**: -0.770 eV/atom
**Space-group type**: Cmmm

a b c (Å): 5.704 5.704 6.945
angles (deg): 90.00 90.00 113.64
Fractional coordinates of all 7 atoms:
Sr 0.000 0.000 0.000
Cd 0.500 0.500 0.500
Hg 0.000 0.000 0.500
Hg 0.000 0.500 0.256
Hg 0.000 0.500 0.744
Hg 0.500 0.000 0.256
Hg 0.500 0.000 0.744

***

Record 9
Density functional theory data (PBE-GGA) for a geometry-optimized Ca4PmTl5 structure.

Results
**ΔH_f (0 K)**: -0.4301 eV per atom
**VASP energy**: -2.889 eV/atom
**Space-group type**: P4/mmm

a b c (Å): 3.895 3.895 19.335
angles (deg): 90.00 90.00 90.00
Fractional coordinates of all 10 atoms:
Ca 0.000 0.000 0.100
Ca 0.000 0.000 0.298
Ca 0.000 0.000 0.702
Ca 0.000 0.000 0.900
Pm 0.000 0.000 0.500
Tl 0.500 0.500 0.000
Tl 0.500 0.500 0.199
Tl 0.500 0.500 0.400
Tl 0.500 0.500 0.600
Tl 0.500 0.500 0.801

***

Record 10
Density functional theory data (PBE-GGA) for a geometry-optimized CoCuSi2 structure.

Results
**E_form (uncorrected)**: -0.1 eV/f.u.
**VASP energy**: -5.525 eV/atom
**Space-group type**: C2/m

a b c (Å): 4.271 4.271 2.660
angles (deg): 90.19 90.19 104.94
Fractional coordinates of all 4 atoms:
Co 0.000 0.000 0.000
Cu 0.500 0.500 0.000
Si 0.000 0.500 0.500
Si 0.500 0.000 0.500

***

Record 11
Density functional theory data (PBE-GGA) for a geometry-optimized BaAl2Pd structure.

Results
**ΔH_f (0 K)**: -0.5453 eV per atom
**VASP energy**: -4.195 eV/atom
**Space-group type**: R-3m

a b c (Å): 6.647 6.647 6.647
angles (deg): 38.60 38.60 38.60
Fractional coordinates of all 4 atoms:
Ba 0.000 0.000 0.000
Al 0.194 0.194 0.194
Al 0.806 0.806 0.806
Pd 0.500 0.500 0.500

***

Record 12
Density functional theory data (PBE-GGA) for a geometry-optimized Tb12Dy6Y structure.

Results
**ΔH_f (0 K)**: 0.1537 eV per atom
**Offset from the most stable computed form**: 0.000 eV/f.u.
**VASP energy**: -4.564 eV/atom
**Space-group type**: R-3

a b c (Å): 8.533 8.533 8.533
angles (deg): 88.56 88.56 88.56
Fractional coordinates of all 19 atoms:
Tb 0.013 0.203 0.358
Tb 0.203 0.358 0.013
Tb 0.224 0.459 0.565
Tb 0.358 0.013 0.203
Tb 0.435 0.776 0.541
Tb 0.459 0.565 0.224
Tb 0.541 0.435 0.776
Tb 0.565 0.224 0.459
Tb 0.642 0.987 0.797
Tb 0.776 0.541 0.435
Tb 0.797 0.642 0.987
Tb 0.987 0.797 0.642
Dy 0.094 0.693 0.259
Dy 0.259 0.094 0.693
Dy 0.307 0.741 0.906
Dy 0.693 0.259 0.094
Dy 0.741 0.906 0.307
Dy 0.906 0.307 0.741
Y 0.000 0.000 0.000